(1)
VASP calculation (PBE) on a relaxed TbDyTeO6 crystal.

DOS at the Fermi energy   0.00 states/eV/f.u.
Total magnetic moment   0.00 Bohr magnetons per cell
E_form (uncorrected)   -2.456 eV/atom
Final energy   -128.458 eV for the cell shown
ρ   7.12 g/cm3

Lattice parameters (Å, degrees): 5.5579 5.5579 9.5049 90.00 90.00 120.00
Space group P-31c (No. 163)
Unique sites:
Tb (0.0000, 0.0000, 0.0000) (multiplicity 2)
Dy (0.3333, 0.6667, 0.2500) (multiplicity 2)
Te (0.3333, 0.6667, 0.7500) (multiplicity 2)
O (0.0432, 0.3719, 0.6348) (multiplicity 12)


(2)
VASP calculation (PBE) on a relaxed TbDy2TeO8 crystal.

DOS at the Fermi energy   7.50 states/eV/f.u.
Total magnetic moment   1.50 Bohr magnetons per cell
E_form (uncorrected)   -2.513 eV/atom
Final energy   -173.607 eV for the cell shown
ρ   7.02 g/cm3

Lattice parameters (Å, degrees): 7.074 7.174 6.891 90.00 90.00 90.00
Space group Cmmm (No. 65)
Unique sites:
Tb (0.000, 0.000, 0.000) (multiplicity 2)
Dy (0.000, 0.500, 0.253) (multiplicity 4)
Te (0.000, 0.000, 0.500) (multiplicity 2)
O (0.000, 0.183, 0.289) (multiplicity 8)
O (0.190, 0.500, 0.000) (multiplicity 4)
O (0.225, 0.500, 0.500) (multiplicity 4)


(3)
VASP calculation (PBE) on a relaxed Tb2DyTeO8 crystal.

DOS at the Fermi energy   7.72 states/eV/f.u.
Total magnetic moment   1.56 Bohr magnetons per cell
E_form (uncorrected)   -2.505 eV/atom
Final energy   -173.465 eV for the cell shown
ρ   6.94 g/cm3

Lattice parameters (Å, degrees): 7.097 7.209 6.886 90.00 90.00 90.00
Space group Cmmm (No. 65)
Unique sites:
Tb (0.000, 0.000, 0.248) (multiplicity 4)
Dy (0.000, 0.500, 0.500) (multiplicity 2)
Te (0.000, 0.500, 0.000) (multiplicity 2)
O (0.000, 0.318, 0.212) (multiplicity 8)
O (0.192, 0.000, 0.500) (multiplicity 4)
O (0.226, 0.000, 0.000) (multiplicity 4)


(4)
VASP calculation (PBE) on a relaxed Tb2DyTlO crystal.

DOS at the Fermi energy   1.53 states/eV/f.u.
Total magnetic moment   0.00 Bohr magnetons per cell
E_form (uncorrected)   -1.363 eV/atom
Final energy   -28.000 eV for the cell shown
ρ   10.50 g/cm3

Lattice parameters (Å, degrees): 4.815 4.815 4.780 90.00 90.00 90.00
Space group P4/mmm (No. 123)
Unique sites:
Tb (0.000, 0.500, 0.000) (multiplicity 2)
Dy (0.000, 0.000, 0.500) (multiplicity 1)
Tl (0.500, 0.500, 0.500) (multiplicity 1)
O (0.000, 0.000, 0.000) (multiplicity 1)


(5)
VASP calculation (PBE) on a relaxed TbDy2UO8 crystal.

DOS at the Fermi energy   8.39 states/eV/f.u.
Total magnetic moment   0.00 Bohr magnetons per cell
E_form (uncorrected)   -3.284 eV/atom
Final energy   -104.202 eV for the cell shown
ρ   9.07 g/cm3

Lattice parameters (Å, degrees): 3.866 5.331 7.546 90.00 90.00 90.00
Space group Pmmm (No. 47)
Unique sites:
Tb (0.000, 0.000, 0.000) (multiplicity 1)
Dy (0.500, 0.500, 0.250) (multiplicity 2)
U (0.000, 0.000, 0.500) (multiplicity 1)
O (0.000, 0.242, 0.272) (multiplicity 4)
O (0.500, 0.232, 0.500) (multiplicity 2)
O (0.500, 0.252, 0.000) (multiplicity 2)